# Zr2N

A relaxed Zr2N crystal (GGA-PBE, Alexandria via LeMat-Bulk).

Computed properties:
Energy relative to the elements, uncorrected: -1218 meV per atom
DOS(E_F): 0.555 states/eV per atom
Calculated total energy: -58.1 eV for the cell shown
Space-group type: P4_2/mnm (136)

a b c (Å): 5.436 5.436 3.322
angles (deg): 90.00 90.00 90.00
Sites, in units of the cell vectors:
1 N 0.000 0.000 0.000
2 N 0.500 0.500 0.500
3 Zr 0.296 0.296 0.000
4 Zr 0.204 0.796 0.500
5 Zr 0.796 0.204 0.500
6 Zr 0.704 0.704 0.000